1.
Here is a relaxed CsZrNiS2 crystal from Alexandria via LeMat-Bulk. Energies are from PBE-GGA.

Unit cell a=5.5399 b=5.5399 c=4.6936 alpha=90.00 beta=90.00 gamma=90.00
Closest atoms and distances in Å follow each position.
Space group P4/mmm (No. 123)
Symmetry-distinct sites (fractional):
Cs: 0.0000 0.0000 0.0000 [1 per cell]  2 Ni 2.35
Zr: 0.5000 0.5000 0.5000 [1 per cell]  8 S 3.63, 4 Ni 3.92
Ni: 0.0000 0.0000 0.5000 [1 per cell]  2 Cs 2.35
S: 0.0000 0.5000 0.0000 [2 per cell]  2 Cs 2.77



2.
Here is a relaxed CsNiSb2 crystal from Alexandria via LeMat-Bulk. Energies are from PBE-GGA.

Unit cell a=4.1340 b=4.1340 c=24.4222 alpha=90.00 beta=90.00 gamma=120.00
Closest atoms and distances in Å follow each position.
Space group R3m (No. 160, hexagonal axes)
Symmetry-distinct sites (fractional):
Cs: 0.0000 0.0000 0.0000 [3 per cell]  6 Sb 3.77-3.89, 6 Cs 4.13, 1 Ni 4.17
Ni: 0.0000 0.0000 0.8292 [3 per cell]  6 Sb 2.61-2.63
Sb: 0.0000 0.0000 0.2076 [3 per cell]  3 Ni 2.63
Sb: 0.0000 0.0000 0.4530 [3 per cell]  3 Ni 2.61



3.
Here is a relaxed CsNi4Sb12 crystal from Alexandria via LeMat-Bulk. Energies are from PBE-GGA.

Unit cell a=9.3844 b=9.3844 c=9.3844 alpha=90.00 beta=90.00 gamma=90.00
Closest atoms and distances in Å follow each position.
Space group Im-3 (No. 204)
Symmetry-distinct sites (fractional):
Cs: 0.0000 0.0000 0.0000 [2 per cell]  12 Sb 3.57
Ni: 0.2500 0.2500 0.2500 [8 per cell]  6 Sb 2.64
Sb: 0.0000 0.3438 0.1628 [24 per cell]  2 Ni 2.64, 1 Sb 2.93



Number 1: total DFT energy (no corrections) -3.193 eV/atom, ΔE_f (raw) 1495 meV per atom, volume 28.81 Å³ per atom. Number 2: total DFT energy (no corrections) -3.986 eV/atom, ΔE_f (raw) -266 meV per atom, volume 30.12 Å³ per atom. Number 3: total DFT energy (no corrections) -4.484 eV/atom, ΔE_f (raw) -163 meV per atom, volume 24.31 Å³ per atom.